First-principles (GGA-PBE) data for a relaxed BaTlReBr2 crystal, as listed in Alexandria via LeMat-Bulk.

abc: 6.101 7.587 6.101
angles: 90.00 90.00 90.00
Site moments in Bohr magnetons follow the coordinates.
Sites, in units of the cell vectors:
Re: 0.500 0.500 0.500  3.96
Tl: 0.000 0.500 0.000  -0.16
Br: 0.500 0.000 0.000  0.00
Br: 0.000 0.000 0.500  0.00
Ba: 0.000 0.000 0.000  -0.06

Computed properties:
Total moment = 4.0 μB per cell
Electronic total energy = -17.14 eV per cell
Formation energy (no corrections) = 284 kJ/mol of formula units